Entry 1:
Computed, not measured: a geometry-optimized LaNdAgI structure at the GGA-PBE level of DFT.

abc: 5.4748 5.4748 5.4748
angles: 60.00 60.00 60.00
Last column: nearest neighbours and their distance in Å.
Positions (direct):
Ag 0.0000 0.0000 0.0000  4 La 3.35, 4 Nd 3.35
I 0.5000 0.5000 0.5000  4 La 3.35, 4 Nd 3.35
Nd 0.7500 0.7500 0.7500  4 Ag 3.35, 4 I 3.35
La 0.2500 0.2500 0.2500  4 I 3.35, 4 Ag 3.35

Summary:
Symmetry: No. 216
V: 29.01 Å³ per atom
Calculated total energy: -15.8 eV for the cell shown

Entry 2:
Computed, not measured: a geometry-optimized LaAgI4O12 structure at the GGA-PBE level of DFT.

abc: 5.7819 13.0744 16.4711
angles: 90.45 100.11 90.00
Last column: nearest neighbours and their distance in Å.
Positions (direct):
O 0.7505 0.9325 0.3370  1 I 1.85
O 0.9240 0.8348 0.0482  1 I 1.85
O 0.6395 0.2492 0.2529  1 I 1.84
O 0.3914 0.9378 0.7380  1 I 1.83
O 0.4039 0.1189 0.9806  1 I 1.85
O 0.0659 0.8092 0.2612  1 I 1.83
O 0.8108 0.1409 0.4226  1 I 1.86
O 0.6471 0.5465 0.1720  1 I 1.86
O 0.6684 0.3718 0.0759  1 I 1.86
O 0.1149 0.5137 0.1632  1 I 1.84
O 0.4076 0.8718 0.0759  1 I 1.86
O 0.2135 0.6767 0.0652  1 I 1.83
O 0.9950 0.2107 0.8981  1 I 1.84
O 0.8606 0.7573 0.6941  1 I 1.83
O 0.3567 0.2816 0.6011  1 I 1.84
O 0.6118 0.6409 0.4226  1 I 1.86
O 0.1241 0.3348 0.0482  1 I 1.85
O 0.6134 0.7492 0.2529  1 I 1.84
O 0.5000 0.9177 0.9078  1 I 1.86
O 0.5249 0.0465 0.1720  1 I 1.86
O 0.2444 0.7816 0.6011  1 I 1.84
O 0.7456 0.0829 0.5925  1 I 1.85
O 0.3107 0.4902 0.5583  1 I 1.84
O 0.5864 0.4325 0.3370  1 I 1.85
O 0.3070 0.0311 0.3129  1 I 1.85
O 0.8330 0.8766 0.5238  1 I 1.85
O 0.1564 0.6547 0.4498  1 I 1.82
O 0.9457 0.5020 0.9410  1 I 1.85
O 0.8517 0.1767 0.0652  1 I 1.83
O 0.9030 0.7107 0.8981  1 I 1.84
O 0.9953 0.0020 0.9410  1 I 1.85
O 0.2935 0.1547 0.4498  1 I 1.82
O 0.8663 0.0570 0.7612  1 I 1.83
O 0.5766 0.6189 0.9806  1 I 1.85
O 0.3916 0.8277 0.4338  1 I 1.83
O 0.0483 0.0136 0.1632  1 I 1.84
O 0.8469 0.5829 0.5925  1 I 1.85
O 0.6909 0.3766 0.5238  1 I 1.85
O 0.3466 0.4378 0.7380  1 I 1.83
O 0.0059 0.5311 0.3129  1 I 1.85
O 0.4189 0.7399 0.8099  1 I 1.83
O 0.8949 0.5570 0.7612  1 I 1.83
O 0.8334 0.2573 0.6941  1 I 1.83
O 0.2476 0.9902 0.5583  1 I 1.84
O 0.1953 0.3092 0.2612  1 I 1.83
O 0.0422 0.3277 0.4338  1 I 1.83
O 0.3910 0.2399 0.8099  1 I 1.83
O 0.4078 0.4177 0.9078  1 I 1.86
Ag 0.3648 0.6141 0.2787  4 O 2.36-2.56
Ag 0.8041 0.7062 0.1324  3 O 2.37-2.49
Ag 0.3283 0.2062 0.1324  3 O 2.37-2.49
Ag 0.9140 0.1141 0.2787  4 O 2.36-2.56
I 0.2314 0.3598 0.8136  3 O 1.83-1.86
I 0.5823 0.8598 0.8136  3 O 1.83-1.86
I 0.8538 0.7993 0.3311  3 O 1.83-1.85
I 0.1854 0.7947 0.0059  3 O 1.83-1.86
I 0.0188 0.6372 0.6888  3 O 1.83-1.85
I 0.4420 0.7092 0.4926  3 O 1.82-1.86
I 0.6700 0.1372 0.6888  3 O 1.83-1.85
I 0.1678 0.0936 0.8910  3 O 1.84-1.85
I 0.7233 0.5936 0.8910  3 O 1.84-1.85
I 0.4773 0.2993 0.3311  3 O 1.83-1.85
I 0.0506 0.2092 0.4926  3 O 1.82-1.86
I 0.8904 0.4593 0.2168  3 O 1.84-1.86
I 0.8204 0.2947 0.0059  3 O 1.83-1.86
I 0.3264 0.9593 0.2168  3 O 1.84-1.86
I 0.5316 0.4002 0.6105  3 O 1.84-1.85
I 0.0789 0.9002 0.6105  3 O 1.84-1.85
La 0.3305 0.4986 0.0429  8 O 2.46-2.62
La 0.7124 0.9986 0.0429  8 O 2.46-2.62
La 0.5394 0.0029 0.4589  8 O 2.43-2.68
La 0.9195 0.5029 0.4589  8 O 2.43-2.68

Summary:
Symmetry: No. 9
V: 17.02 Å³ per atom
Calculated total energy: -352.4 eV for the cell shown

Entry 3:
Computed, not measured: a geometry-optimized La4AgOsI2 structure at the GGA-PBE level of DFT.

abc: 4.3351 7.5925 8.6224
angles: 106.71 90.00 90.00
Last column: nearest neighbours and their distance in Å.
Positions (direct):
I 0.0000 0.5000 0.5000  6 La 3.49-3.50
I 0.5000 0.0000 0.5000  6 La 3.65-3.74
La 0.5000 0.7362 0.8059  1 Os 2.78, 2 Ag 3.10
La 0.0000 0.2887 0.8107  2 Os 2.90, 1 Ag 3.09
La 0.0000 0.7113 0.1893  2 Os 2.90, 1 Ag 3.09
La 0.5000 0.2638 0.1941  1 Os 2.78, 2 Ag 3.10
Os 0.5000 0.5000 0.0000  6 La 2.78-2.90
Ag 0.0000 0.0000 0.0000  6 La 3.09-3.10

Summary:
Symmetry: No. 10
V: 33.98 Å³ per atom
Calculated total energy: -42.5 eV for the cell shown

Entry 4:
Computed, not measured: a geometry-optimized La6AgOs2I3 structure at the GGA-PBE level of DFT.

abc: 7.4658 7.4658 8.6645
angles: 98.26 98.26 120.00
Last column: nearest neighbours and their distance in Å.
Positions (direct):
Os 0.6667 0.3333 0.0000  6 La 2.86
Os 0.3333 0.6667 0.0000  6 La 2.86
La 0.2990 0.2990 0.8115  2 Os 2.86, 1 Ag 3.12
La 0.7010 0.7010 0.1885  2 Os 2.86, 1 Ag 3.12
La 0.9367 0.5747 0.8105  2 Os 2.86, 1 Ag 3.13
La 0.5747 0.9367 0.8105  2 Os 2.86, 1 Ag 3.13
La 0.4253 0.0633 0.1895  2 Os 2.86, 1 Ag 3.13
La 0.0633 0.4253 0.1895  2 Os 2.86, 1 Ag 3.13
I 0.5000 0.5000 0.5000  6 La 3.44-3.66
I 0.1636 0.8364 0.5000  6 La 3.46-3.67
I 0.8364 0.1636 0.5000  6 La 3.46-3.67
Ag 0.0000 0.0000 0.0000  6 La 3.12-3.13

Summary:
Symmetry: No. 12
V: 33.38 Å³ per atom
Calculated total energy: -68.4 eV for the cell shown

Entry 5:
Computed, not measured: a geometry-optimized La2AgPdI structure at the GGA-PBE level of DFT.

abc: 5.9622 4.9300 5.9622
angles: 90.00 90.00 90.00
Last column: nearest neighbours and their distance in Å.
Positions (direct):
Ag 0.5000 0.5000 0.5000  8 La 3.87, 4 Pd 4.22
Pd 0.0000 0.5000 0.0000  2 I 2.47
La 0.0000 0.0000 0.5000  2 I 2.98
La 0.5000 0.0000 0.0000  2 I 2.98
I 0.0000 0.0000 0.0000  2 Pd 2.47

Summary:
Symmetry: No. 123
V: 35.05 Å³ per atom
Calculated total energy: -19.1 eV for the cell shown

Entry 6:
Computed, not measured: a geometry-optimized La8AgPt3I4 structure at the GGA-PBE level of DFT.

abc: 8.7249 9.6359 8.7286
angles: 116.95 119.99 90.00
Last column: nearest neighbours and their distance in Å.
Positions (direct):
La 0.2377 0.6925 0.4754  2 Pt 2.93, 1 Ag 3.06
La 0.2695 0.3088 0.5389  3 Pt 2.97
La 0.7621 0.3075 0.0452  2 Pt 2.93, 1 Ag 3.06
La 0.2379 0.6925 0.9548  2 Pt 2.93, 1 Ag 3.06
La 0.7170 0.6925 0.9548  2 Pt 2.93, 1 Ag 3.06
La 0.7623 0.3075 0.5246  2 Pt 2.93, 1 Ag 3.06
La 0.7305 0.6912 0.4611  3 Pt 2.97
La 0.2830 0.3075 0.0452  2 Pt 2.93, 1 Ag 3.06
Ag 0.0000 0.5000 0.0000  6 La 3.06
I 0.0000 0.0000 0.0000  6 La 3.57-3.61
I 0.0000 0.0000 0.5000  6 La 3.57-3.61
I 0.5000 0.0000 0.5000  6 La 3.57-3.61
I 0.5000 0.0000 0.0000  6 La 3.49
Pt 0.5000 0.5000 0.0000  6 La 2.93-2.97
Pt 0.0000 0.5000 0.5000  6 La 2.93-2.97
Pt 0.5000 0.5000 0.5000  6 La 2.93-2.97

Summary:
Symmetry: No. 166
V: 33.85 Å³ per atom
Calculated total energy: -83.4 eV for the cell shown

Entry 7:
Computed, not measured: a geometry-optimized Rb2LaAgI6 structure at the GGA-PBE level of DFT.

abc: 8.4747 8.8813 11.9005
angles: 90.00 90.13 90.00
Last column: nearest neighbours and their distance in Å.
Positions (direct):
Ag 0.5000 0.0000 0.5000  6 I 2.98-3.19
Ag 0.0000 0.5000 0.0000  6 I 2.98-3.19
Rb 0.9757 0.0772 0.7520  8 I 3.73-4.15
Rb 0.4757 0.4228 0.2520  8 I 3.73-4.15
Rb 0.5243 0.5772 0.7480  8 I 3.73-4.15
Rb 0.0243 0.9228 0.2480  8 I 3.73-4.15
I 0.6970 0.2995 0.9556  1 Ag 3.17, 1 La 3.19
I 0.4076 0.9840 0.7409  1 Ag 2.98, 1 La 3.18
I 0.8032 0.7999 0.9527  1 La 3.18, 1 Ag 3.19
I 0.8030 0.7995 0.5444  1 Ag 3.17, 1 La 3.19
I 0.5924 0.0160 0.2591  1 Ag 2.98, 1 La 3.18
I 0.9076 0.5160 0.2409  1 Ag 2.98, 1 La 3.18
I 0.3030 0.7005 0.0444  1 Ag 3.17, 1 La 3.19
I 0.0924 0.4840 0.7591  1 Ag 2.98, 1 La 3.18
I 0.6968 0.2999 0.5473  1 La 3.18, 1 Ag 3.19
I 0.1968 0.2001 0.0473  1 La 3.18, 1 Ag 3.19
I 0.3032 0.7001 0.4527  1 La 3.18, 1 Ag 3.19
I 0.1970 0.2005 0.4556  1 Ag 3.17, 1 La 3.19
La 0.5000 0.0000 0.0000  6 I 3.18-3.19
La 0.0000 0.5000 0.5000  6 I 3.18-3.19

Summary:
Symmetry: No. 14
Energy relative to the lowest polymorph listed for this composition: 0.000 eV/atom
V: 44.78 Å³ per atom

Entry 8:
Computed, not measured: a geometry-optimized Rb3LaAg2I9 structure at the GGA-PBE level of DFT.

abc: 8.5207 8.5207 10.6997
angles: 90.00 90.00 120.00
Last column: nearest neighbours and their distance in Å.
Positions (direct):
I 0.5000 0.0000 0.0000  2 Ag 2.94
I 0.6585 0.8292 0.3254  1 Ag 3.04, 1 La 3.14
I 0.1708 0.8292 0.3254  1 Ag 3.04, 1 La 3.14
I 0.0000 0.5000 0.0000  2 Ag 2.94
I 0.1708 0.3415 0.3254  1 Ag 3.04, 1 La 3.14
I 0.8292 0.6585 0.6746  1 Ag 3.04, 1 La 3.14
I 0.8292 0.1708 0.6746  1 Ag 3.04, 1 La 3.14
I 0.3415 0.1708 0.6746  1 Ag 3.04, 1 La 3.14
I 0.5000 0.5000 0.0000  2 Ag 2.94
Ag 0.6667 0.3333 0.8498  6 I 2.94-3.04
Ag 0.3333 0.6667 0.1502  6 I 2.94-3.04
Rb 0.0000 0.0000 0.0000  12 I 4.26-4.30
Rb 0.6667 0.3333 0.2907  9 I 3.97-4.28
Rb 0.3333 0.6667 0.7093  9 I 3.97-4.28
La 0.0000 0.0000 0.5000  6 I 3.14

Summary:
Symmetry: No. 164
V: 44.85 Å³ per atom
Calculated total energy: -42.7 eV for the cell shown

Entry 9:
Computed, not measured: a geometry-optimized Rb2LaAgI6 structure at the GGA-PBE level of DFT.

abc: 8.7308 8.7308 8.7405
angles: 60.04 60.04 90.00
Last column: nearest neighbours and their distance in Å.
Positions (direct):
I 0.2547 0.2547 0.0000  1 Ag 3.03, 1 La 3.14
I 0.2542 0.2542 0.4917  1 Ag 3.04, 1 La 3.15
I 0.2547 0.7453 0.0000  1 Ag 3.03, 1 La 3.14
I 0.7453 0.2547 0.0000  1 Ag 3.03, 1 La 3.14
I 0.7458 0.7458 0.5083  1 Ag 3.04, 1 La 3.15
I 0.7453 0.7453 0.0000  1 Ag 3.03, 1 La 3.14
La 0.0000 0.0000 0.0000  6 I 3.14-3.15
Rb 0.2500 0.7500 0.5000  12 I 4.37
Rb 0.7500 0.2500 0.5000  12 I 4.37
Ag 0.5000 0.5000 0.0000  6 I 3.03-3.04

Summary:
Symmetry: No. 139
Energy relative to the lowest polymorph listed for this composition: 0.034 eV/atom
V: 47.16 Å³ per atom